(1)
This record from Alexandria via LeMat-Bulk describes a relaxed RbNaGeAu crystal. The functional is PBE-GGA.

abc: 4.649 4.639 7.185
angles: 108.84 90.00 120.07
Element x y z (fractional)
Rb: 0.631 0.262 0.536
Na: 0.824 0.648 0.113
Ge: 0.087 0.175 0.906
Au: 0.424 0.848 0.912

raw total energy	-2.74	eV per atom
DFT formation energy	-0.194	eV per atom
space-group type	Cm (8)

***

(2)
This record from Alexandria via LeMat-Bulk describes a relaxed CsInOF2 crystal. The functional is PBE-GGA.

abc: 5.253 5.253 4.366
angles: 90.00 90.00 90.00
Element x y z (fractional)
Cs: 0.000 0.000 0.000
F: 0.000 0.500 0.000
F: 0.500 0.000 0.000
O: 0.000 0.000 0.500
In: 0.500 0.500 0.500

excess energy over the best structure of this formula in the dataset	1.333	eV/atom
formation energy from raw total energies	-4.20	eV per formula unit
raw total energy	-3.30	eV per atom
space-group type	P4/mmm (123)

***

(3)
This record from Alexandria via LeMat-Bulk describes a relaxed MgPaFeIr crystal. The functional is PBE-GGA.

abc: 4.642 4.642 4.642
angles: 60.00 60.00 60.00
Site moments in Bohr magnetons follow the coordinates.
Element x y z (fractional)
Mg: 0.750 0.750 0.750  -0.01
Pa: 0.250 0.250 0.250  -0.34
Fe: 0.500 0.500 0.500  1.19
Ir: 0.000 0.000 0.000  0.07

raw total energy	-7.39	eV per atom
DFT formation energy	-0.281	eV per atom
space-group type	F-43m (216)

***

(4)
This record from Alexandria via LeMat-Bulk describes a relaxed ZnTc2Ge2 crystal. The functional is PBE-GGA.

abc: 3.550 3.550 6.823
angles: 74.92 74.92 90.00
Element x y z (fractional)
Zn: 0.000 0.000 0.000
Ge: 0.750 0.250 0.500
Ge: 0.250 0.750 0.500
Tc: 0.398 0.398 0.205
Tc: 0.602 0.602 0.795

excess energy over the best structure of this formula in the dataset	0.260	eV/atom
raw total energy	-6.06	eV per atom
DFT formation energy	0.190	eV per atom
space-group type	I4/mmm (139)

***

(5)
This record from Alexandria via LeMat-Bulk describes a relaxed Ce2PaIn9 crystal. The functional is PBE-GGA.

abc: 4.687 4.687 14.072
angles: 90.00 90.00 90.00
Site moments in Bohr magnetons follow the coordinates.
Element x y z (fractional)
Ce: 0.000 0.000 0.331  0.74
Ce: 0.000 0.000 0.669  0.74
Pa: 0.000 0.000 0.000  0.78
In: 0.500 0.500 0.000  0.02
In: 0.500 0.500 0.332  0.01
In: 0.500 0.500 0.668  0.01
In: 0.500 0.000 0.165  0.01
In: 0.500 0.000 0.500  0.01
In: 0.500 0.000 0.835  0.01
In: 0.000 0.500 0.165  0.01
In: 0.000 0.500 0.500  0.01
In: 0.000 0.500 0.835  0.01

raw total energy	-4.15	eV per atom
DFT formation energy	-0.317	eV per atom
space-group type	P4/mmm (123)

***

(6)
This record from Alexandria via LeMat-Bulk describes a relaxed Sr4CuPb crystal. The functional is PBE-GGA.

abc: 7.093 7.093 7.093
angles: 60.00 60.00 60.00
Element x y z (fractional)
Sr: 0.877 0.374 0.374
Sr: 0.374 0.374 0.877
Sr: 0.374 0.877 0.374
Sr: 0.374 0.374 0.374
Cu: 0.750 0.750 0.750
Pb: 0.000 0.000 0.000

raw total energy	-1.91	eV per atom
DFT formation energy	0.512	eV per atom
space-group type	F-43m (216)

***

(7)
This record from Alexandria via LeMat-Bulk describes a relaxed NaCeY4S8 crystal. The functional is PBE-GGA.

abc: 8.110 8.110 8.216
angles: 60.43 60.43 60.00
Site moments in Bohr magnetons follow the coordinates.
Element x y z (fractional)
Na: 0.374 0.374 0.879  0.00
Ce: 0.003 0.003 0.990  0.90
Y: 0.626 0.626 0.121  0.01
Y: 0.005 0.487 0.504  0.01
Y: 0.487 0.005 0.504  0.01
Y: 0.005 0.005 0.504  0.01
S: 0.243 0.783 0.731  -0.01
S: 0.783 0.243 0.731  -0.01
S: 0.243 0.243 0.731  -0.01
S: 0.239 0.239 0.284  0.00
S: 0.753 0.229 0.265  -0.01
S: 0.229 0.753 0.265  -0.01
S: 0.753 0.753 0.265  -0.01
S: 0.758 0.758 0.725  0.00

formation energy from raw total energies	-27.02	eV per formula unit
raw total energy	-6.65	eV per atom
space-group type	R3m (160)

***

(8)
This record from Alexandria via LeMat-Bulk describes a relaxed Ga3BrN crystal. The functional is PBE-GGA.

abc: 5.744 5.744 5.744
angles: 90.00 90.00 90.00
Site moments in Bohr magnetons follow the coordinates.
Element x y z (fractional)
Ga: 0.000 0.500 0.000  -0.05
Ga: 0.000 0.000 0.500  -0.06
Ga: 0.500 0.000 0.000  -0.07
Br: 0.000 0.000 0.000  0.01
N: 0.500 0.500 0.500  1.56

excess energy over the best structure of this formula in the dataset	0.996	eV/atom
formation energy from raw total energies	6.82	eV per formula unit
raw total energy	-2.45	eV per atom
space-group type	Pm-3m (221)

***

(9)
This record from Alexandria via LeMat-Bulk describes a relaxed LiTbCd14 crystal. The functional is PBE-GGA.

abc: 6.516 6.516 8.550
angles: 90.00 90.00 90.00
Element x y z (fractional)
Li: 0.375 0.375 0.500
Tb: 0.875 0.875 0.500
Cd: 0.875 0.875 0.000
Cd: 0.375 0.375 0.000
Cd: 0.875 0.375 0.500
Cd: 0.875 0.375 0.000
Cd: 0.375 0.875 0.500
Cd: 0.375 0.875 0.000
Cd: 0.619 0.131 0.249
Cd: 0.619 0.131 0.751
Cd: 0.131 0.619 0.249
Cd: 0.131 0.619 0.751
Cd: 0.619 0.619 0.249
Cd: 0.619 0.619 0.751
Cd: 0.132 0.132 0.249
Cd: 0.132 0.132 0.751

raw total energy	-1.31	eV per atom
DFT formation energy	-0.099	eV per atom
space-group type	P4/mmm (123)

***

(10)
This record from Alexandria via LeMat-Bulk describes a relaxed SmSi12Ir4 crystal. The functional is PBE-GGA.

abc: 7.230 7.230 7.230
angles: 109.47 109.47 109.47
Element x y z (fractional)
Sm: 0.000 0.000 0.000
Si: 0.849 0.354 0.204
Si: 0.354 0.505 0.151
Si: 0.796 0.151 0.646
Si: 0.354 0.204 0.849
Si: 0.204 0.849 0.354
Si: 0.646 0.495 0.849
Si: 0.505 0.151 0.354
Si: 0.495 0.849 0.646
Si: 0.646 0.796 0.151
Si: 0.849 0.646 0.495
Si: 0.151 0.354 0.505
Si: 0.151 0.646 0.796
Ir: 0.000 0.500 0.000
Ir: 0.500 0.000 0.000
Ir: 0.500 0.500 0.500
Ir: 0.000 0.000 0.500

formation energy from raw total energies	-5.29	eV per formula unit
raw total energy	-6.50	eV per atom
space-group type	Im-3 (204)

***

(11)
This record from Alexandria via LeMat-Bulk describes a relaxed Cs2KAsCl6 crystal. The functional is PBE-GGA.

abc: 7.847 7.847 7.847
angles: 60.00 60.00 60.00
Element x y z (fractional)
Cs: 0.250 0.250 0.250
Cs: 0.750 0.750 0.750
As: 0.000 0.000 0.000
K: 0.500 0.500 0.500
Cl: 0.227 0.773 0.773
Cl: 0.773 0.227 0.773
Cl: 0.227 0.773 0.227
Cl: 0.227 0.227 0.773
Cl: 0.773 0.773 0.227
Cl: 0.773 0.227 0.227

formation energy from raw total energies	-14.93	eV per formula unit
raw total energy	-3.35	eV per atom
space-group type	Fm-3m (225)

***

(12)
This record from Alexandria via LeMat-Bulk describes a relaxed TmThPbAu crystal. The functional is PBE-GGA.

abc: 5.324 5.324 5.324
angles: 60.00 60.00 60.00
Site moments in Bohr magnetons follow the coordinates.
Element x y z (fractional)
Pb: 0.500 0.500 0.500  0.00
Tm: 0.250 0.250 0.250  0.05
Au: 0.000 0.000 0.000  0.01
Th: 0.750 0.750 0.750  0.05

raw total energy	-5.14	eV per atom
DFT formation energy	-0.425	eV per atom
space-group type	F-43m (216)

***

(13)
This record from Alexandria via LeMat-Bulk describes a relaxed NpNiTe4 crystal. The functional is PBE-GGA.

abc: 6.157 8.085 6.567
angles: 90.00 99.37 90.00
Site moments in Bohr magnetons follow the coordinates.
Element x y z (fractional)
Np: 0.000 0.000 0.000  3.98
Np: 0.500 0.500 0.000  3.98
Ni: 0.500 0.000 0.500  -0.01
Ni: 0.000 0.500 0.500  -0.01
Te: 0.042 0.631 0.162  -0.04
Te: 0.458 0.131 0.838  -0.04
Te: 0.306 0.271 0.350  -0.04
Te: 0.194 0.771 0.650  -0.04
Te: 0.958 0.369 0.838  -0.04
Te: 0.542 0.869 0.162  -0.04
Te: 0.694 0.729 0.650  -0.04
Te: 0.806 0.229 0.350  -0.04

formation energy from raw total energies	-1.32	eV per formula unit
raw total energy	-5.44	eV per atom
space-group type	P2_1/c (14)

***

(14)
This record from Alexandria via LeMat-Bulk describes a relaxed Be2SeBr crystal. The functional is PBE-GGA.

abc: 7.508 7.508 7.508
angles: 154.14 154.14 36.89
Element x y z (fractional)
Be: 0.000 0.000 0.000
Be: 0.250 0.750 0.500
Se: 0.750 0.250 0.500
Br: 0.500 0.500 0.000

excess energy over the best structure of this formula in the dataset	0.549	eV/atom
formation energy from raw total energies	1.00	eV per formula unit
raw total energy	-2.90	eV per atom
space-group type	I-4m2 (119)

***

(15)
This record from Alexandria via LeMat-Bulk describes a relaxed NbTc2NiS crystal. The functional is PBE-GGA.

abc: 4.650 3.827 4.650
angles: 90.00 90.00 90.00
Element x y z (fractional)
S: 0.000 0.500 0.000
Ni: 0.000 0.000 0.000
Nb: 0.500 0.500 0.500
Tc: 0.000 0.000 0.500
Tc: 0.500 0.000 0.000

formation energy from raw total energies	5.40	eV per formula unit
raw total energy	-7.06	eV per atom
space-group type	P4/mmm (123)

***

(16)
This record from Alexandria via LeMat-Bulk describes a relaxed CeH4Pd crystal. The functional is PBE-GGA.

abc: 4.013 4.532 4.532
angles: 63.05 63.68 63.68
Site moments in Bohr magnetons follow the coordinates.
Element x y z (fractional)
Ce: 0.002 0.503 0.499  0.77
H: 0.674 0.101 0.556  0.00
H: 0.330 0.904 0.442  0.00
H: 0.330 0.446 0.900  0.00
H: 0.674 0.560 0.097  0.00
Pd: 0.502 0.003 0.999  0.02

raw total energy	-4.45	eV per atom
space-group type	Immm (71)

***

(17)
This record from Alexandria via LeMat-Bulk describes a relaxed YPaCo3 crystal. The functional is PBE-GGA.

abc: 5.975 6.113 6.519
angles: 63.04 62.72 60.76
Element x y z (fractional)
Y: 0.500 0.502 0.415
Y: 0.599 0.884 0.836
Pa: 0.976 0.261 0.705
Pa: 0.887 0.904 0.239
Co: 0.048 0.060 0.371
Co: 0.537 0.351 0.926
Co: 0.184 0.779 0.771
Co: 0.103 0.351 0.926
Co: 0.111 0.496 0.200
Co: 0.439 0.060 0.371

excess energy over the best structure of this formula in the dataset	0.111	eV/atom
raw total energy	-7.63	eV per atom
DFT formation energy	-0.178	eV per atom
space-group type	Cm (8)

***

(18)
This record from Alexandria via LeMat-Bulk describes a relaxed MnNbZn2N crystal. The functional is PBE-GGA.

abc: 4.571 4.456 4.571
angles: 90.00 90.00 90.00
Site moments in Bohr magnetons follow the coordinates.
Element x y z (fractional)
Nb: 0.000 0.500 0.000  -0.82
Mn: 0.000 0.000 0.000  1.73
Zn: 0.000 0.000 0.500  0.03
Zn: 0.500 0.000 0.000  0.03
N: 0.500 0.500 0.500  1.03

formation energy from raw total energies	7.71	eV per formula unit
raw total energy	-4.48	eV per atom
space-group type	P4/mmm (123)

***

(19)
This record from Alexandria via LeMat-Bulk describes a relaxed Rb2LiPuCl6 crystal. The functional is PBE-GGA.

abc: 7.489 7.489 7.489
angles: 60.00 60.00 89.99
Site moments in Bohr magnetons follow the coordinates.
Element x y z (fractional)
Rb: 0.250 0.750 0.500  0.00
Rb: 0.750 0.250 0.500  0.00
Li: 0.000 0.000 0.000  0.00
Pu: 0.500 0.500 0.000  5.03
Cl: 0.245 0.755 0.000  -0.02
Cl: 0.755 0.755 0.000  -0.02
Cl: 0.245 0.245 0.510  -0.02
Cl: 0.755 0.245 0.000  -0.02
Cl: 0.245 0.245 0.000  -0.02
Cl: 0.755 0.755 0.490  -0.02

formation energy from raw total energies	-19.26	eV per formula unit
raw total energy	-4.85	eV per atom
space-group type	Fm-3m (225)

***

(20)
This record from Alexandria via LeMat-Bulk describes a relaxed Tb2HfN3 crystal. The functional is PBE-GGA.

abc: 3.325 6.770 8.275
angles: 108.30 90.00 104.21
Element x y z (fractional)
Tb: 0.163 0.326 0.329
Tb: 0.837 0.674 0.671
Tb: 0.335 0.670 0.168
Tb: 0.665 0.330 0.832
Hf: 0.500 0.000 0.000
Hf: 0.000 0.000 0.500
N: 0.976 0.952 0.186
N: 0.024 0.048 0.814
N: 0.682 0.365 0.132
N: 0.318 0.635 0.868
N: 0.379 0.758 0.476
N: 0.621 0.242 0.524

formation energy from raw total energies	-8.09	eV per formula unit
raw total energy	-8.71	eV per atom
space-group type	C2/m (12)

***

(21)
This record from Alexandria via LeMat-Bulk describes a relaxed KB2PbF8 crystal. The functional is PBE-GGA.

abc: 4.742 4.742 10.013
angles: 76.30 76.30 60.00
Site moments in Bohr magnetons follow the coordinates.
Element x y z (fractional)
K: 0.500 0.500 0.500  0.00
B: 0.240 0.240 0.280  0.00
B: 0.760 0.760 0.720  0.00
Pb: 0.000 0.000 0.000  0.07
F: 0.191 0.191 0.428  0.00
F: 0.540 0.252 0.233  0.00
F: 0.809 0.809 0.572  0.00
F: 0.975 0.540 0.233  0.00
F: 0.025 0.460 0.767  0.00
F: 0.252 0.975 0.233  0.00
F: 0.748 0.025 0.767  0.00
F: 0.460 0.748 0.767  0.00

formation energy from raw total energies	-32.01	eV per formula unit
raw total energy	-5.43	eV per atom
space-group type	R-3 (148)

***

(22)
This record from Alexandria via LeMat-Bulk describes a relaxed Ba2PaSe4 crystal. The functional is PBE-GGA.

abc: 4.332 7.239 8.495
angles: 64.90 104.77 90.00
Site moments in Bohr magnetons follow the coordinates.
Element x y z (fractional)
Ba: 0.151 0.350 0.303  0.01
Ba: 0.849 0.650 0.697  0.01
Pa: 0.000 0.000 0.000  0.90
Se: 0.189 0.810 0.377  -0.02
Se: 0.811 0.190 0.623  -0.02
Se: 0.499 0.735 0.998  -0.02
Se: 0.501 0.265 0.002  -0.02

excess energy over the best structure of this formula in the dataset	0.006	eV/atom
formation energy from raw total energies	-11.91	eV per formula unit
raw total energy	-5.60	eV per atom
space-group type	C2/m (12)

***

(23)
This record from Alexandria via LeMat-Bulk describes a relaxed TlFeCl6 crystal. The functional is PBE-GGA.

abc: 6.683 6.683 6.679
angles: 104.30 104.30 105.56
Site moments in Bohr magnetons follow the coordinates.
Element x y z (fractional)
Tl: 0.000 0.000 0.500  -0.03
Fe: 0.000 0.000 0.000  1.06
Cl: 0.272 0.975 0.264  -0.01
Cl: 0.975 0.272 0.264  -0.01
Cl: 0.025 0.728 0.736  -0.01
Cl: 0.728 0.025 0.736  -0.01
Cl: 0.247 0.247 0.920  -0.01
Cl: 0.753 0.753 0.080  -0.01

formation energy from raw total energies	-4.74	eV per formula unit
raw total energy	-3.33	eV per atom
space-group type	C2/m (12)

***

(24)
This record from Alexandria via LeMat-Bulk describes a relaxed TeSBr2 crystal. The functional is PBE-GGA.

abc: 4.635 4.635 10.379
angles: 77.10 77.10 90.00
Site moments in Bohr magnetons follow the coordinates.
Element x y z (fractional)
S: 0.500 0.500 0.000  0.16
S: 0.250 0.750 0.500  0.16
Te: 0.000 0.000 0.000  -0.02
Te: 0.750 0.250 0.500  -0.02
Br: 0.628 0.125 0.250  0.03
Br: 0.122 0.625 0.250  0.04
Br: 0.375 0.372 0.750  0.03
Br: 0.875 0.878 0.750  0.05

excess energy over the best structure of this formula in the dataset	0.659	eV/atom
formation energy from raw total energies	2.11	eV per formula unit
raw total energy	-2.13	eV per atom
space-group type	I-42d (122)

***

What D(E_F) values result from the calculations? In sequence: 0.50, 0.63, 0.70, 1.02, 1.53, 1.17, 0.42, 0.93, 0.52, 0.60, 0.00, 1.49, 1.89, 0.31, 0.79, 1.23, 0.72, 0.75, 1.24, 0.33, 0.20, 0.88, 0.83, 0.71 states/eV per atom.